# 1
## K2ScOs (SCAN)

Data for K2ScOs at its PBEsol-relaxed geometry.

```
data_K2ScOs
_space_group_name_H-M_alt 'P 1 2/m 1'
_space_group_IT_number 10
_cell_length_a 3.243
_cell_length_b 6.134
_cell_length_c 4.665
_cell_angle_alpha 90.00
_cell_angle_beta 91.99
_cell_angle_gamma 90.00
loop_
_space_group_symop_operation_xyz
'x,y,z'
'-x,-y,-z'
'-x,y,-z'
'x,-y,z'
loop_
_atom_site_label
_atom_site_type_symbol
_atom_site_fract_x
_atom_site_fract_y
_atom_site_fract_z
K1 K 0.246 0.000 0.258
Sc1 Sc 0.500 0.500 0.000
Os1 Os 0.000 0.500 0.500
```

Properties
Offset from the most stable computed form (eV per atom): 0.000
ΔE_f (meV per atom): 962
Uncorrected energy (eV for the cell shown): -98.9

# 2
## KScOs2 (SCAN)

Data for KScOs2 at its PBEsol-relaxed geometry.

```
data_KScOs2
_space_group_name_H-M_alt 'P 4/m m m'
_space_group_IT_number 123
_space_group_name_Hall '-P 4 2'
_cell_length_a 2.754
_cell_length_b 2.754
_cell_length_c 9.633
_cell_angle_alpha 90.00
_cell_angle_beta 90.00
_cell_angle_gamma 90.00
loop_
_atom_site_label
_atom_site_type_symbol
_atom_site_fract_x
_atom_site_fract_y
_atom_site_fract_z
K1 K 0.000 0.000 0.000
Sc1 Sc 0.000 0.000 0.500
Os1 Os 0.500 0.500 0.288
```

Properties
Offset from the most stable computed form (eV per atom): 0.181
ΔE_f (meV per atom): 684
Uncorrected energy (eV for the cell shown): -163.6